[1]
Material: NbMoNF2
Method: DFT, PBE+U
State: relaxed

The polymorph energy (0 for the lowest one) comes out at 0.0 meV per atom. The calculation puts the magnetic moment at 4.2 Bohr magnetons per cell.

The structure belongs to space group P4/mmm (No. 123); the cell edges are 4.2800, 4.2800 and 4.0625 Å and the angles 90.00°, 90.00° and 90.00°. The distinct sites, in fractional coordinates, are Nb at (0.0000, 0.0000, 0.0000), Mo at (0.5000, 0.5000, 0.5000), N at (0.0000, 0.0000, 0.5000) and F at (0.0000, 0.5000, 0.0000).

=====

[2]
Material: RhWNF2
Method: DFT, PBE+U
State: relaxed

The polymorph energy (0 for the lowest one) comes out at 597.2 meV per atom. The calculation puts the magnetic moment at 4.2 Bohr magnetons per cell.

The structure belongs to space group P4/mmm (No. 123); the cell edges are 4.4823, 4.4823 and 3.6747 Å and the angles 90.00°, 90.00° and 90.00°. The distinct sites, in fractional coordinates, are Rh at (0.0000, 0.0000, 0.0000), W at (0.5000, 0.5000, 0.5000), N at (0.0000, 0.0000, 0.5000) and F at (0.0000, 0.5000, 0.0000).